[1]
Compound: Ca4OsRu
Source: Alexandria via LeMat-Bulk
Functional: PBE
Structure: relaxed

SG = No. 216
ΔH_f (0 K) = 1.322 eV/atom

a = 5.8619 Å, b = 5.8619 Å, c = 5.8619 Å
α = 60.00°, β = 60.00°, γ = 60.00°
Fractional positions:
Ca 0.1247 0.1247 0.1247
Ca 0.1247 0.1247 0.6258
Ca 0.1247 0.6258 0.1247
Ca 0.6258 0.1247 0.1247
Os 0.7500 0.7500 0.7500
Ru 0.5000 0.5000 0.5000

[2]
Compound: CaOs4Ru
Source: Alexandria via LeMat-Bulk
Functional: PBE
Structure: relaxed

SG = No. 216
ΔH_f (0 K) = 0.548 eV/atom

a = 5.2069 Å, b = 5.2069 Å, c = 5.2069 Å
α = 60.00°, β = 60.00°, γ = 60.00°
Fractional positions:
Ca 0.0000 0.0000 0.0000
Os 0.1259 0.6247 0.6247
Os 0.6247 0.1259 0.6247
Os 0.6247 0.6247 0.1259
Os 0.6247 0.6247 0.6247
Ru 0.2500 0.2500 0.2500

[3]
Compound: CaOsRu2
Source: Alexandria via LeMat-Bulk
Functional: PBE
Structure: relaxed

ΔE to the lowest computed polymorph = 0.076 eV/atom
SG = No. 12
ΔH_f (0 K) = 0.429 eV/atom

a = 9.1454 Å, b = 2.8050 Å, c = 5.4165 Å
α = 90.00°, β = 99.09°, γ = 90.00°
Fractional positions:
Ca 0.0000 0.0000 0.0000
Ca 0.5000 0.5000 0.0000
Os 0.0000 0.5000 0.5000
Os 0.5000 0.0000 0.5000
Ru 0.2340 0.0000 0.6916
Ru 0.2660 0.5000 0.3084
Ru 0.7340 0.5000 0.6916
Ru 0.7660 0.0000 0.3084

[4]
Compound: CaOsRu2
Source: Alexandria via LeMat-Bulk
Functional: PBE
Structure: relaxed

ΔE to the lowest computed polymorph = 0.052 eV/atom
SG = No. 99
ΔH_f (0 K) = 0.405 eV/atom

a = 2.8001 Å, b = 2.8001 Å, c = 8.4281 Å
α = 90.00°, β = 90.00°, γ = 90.00°
Fractional positions:
Ca 0.0000 0.0000 0.0000
Os 0.5000 0.5000 0.2862
Ru 0.0000 0.0000 0.4971
Ru 0.5000 0.5000 0.7120

[5]
Compound: CaOsRu2
Source: Alexandria via LeMat-Bulk
Functional: PBE
Structure: relaxed

ΔE to the lowest computed polymorph = 0.101 eV/atom
SG = No. 25
ΔH_f (0 K) = 0.454 eV/atom

a = 2.7902 Å, b = 3.7749 Å, c = 6.5944 Å
α = 90.00°, β = 90.00°, γ = 90.00°
Fractional positions:
Ca 0.0000 0.0000 0.0000
Os 0.5000 0.5000 0.3147
Ru 0.0000 0.0000 0.4970
Ru 0.5000 0.5000 0.7008

[6]
Compound: CaOsRu2
Source: Alexandria via LeMat-Bulk
Functional: PBE
Structure: relaxed

ΔE to the lowest computed polymorph = 0.327 eV/atom
SG = No. 122
ΔH_f (0 K) = 0.680 eV/atom

a = 7.4061 Å, b = 7.4061 Å, c = 5.6316 Å
α = 90.00°, β = 90.00°, γ = 90.00°
Fractional positions:
Ca 0.0000 0.0000 0.0000
Ca 0.0000 0.5000 0.2500
Ca 0.5000 0.0000 0.7500
Ca 0.5000 0.5000 0.5000
Os 0.0000 0.0000 0.5000
Os 0.0000 0.5000 0.7500
Os 0.5000 0.0000 0.2500
Os 0.5000 0.5000 0.0000
Ru 0.1874 0.7500 0.6250
Ru 0.2500 0.1874 0.3750
Ru 0.2500 0.3126 0.8750
Ru 0.3126 0.7500 0.1250
Ru 0.6874 0.2500 0.1250
Ru 0.7500 0.6874 0.8750
Ru 0.7500 0.8126 0.3750
Ru 0.8126 0.2500 0.6250

[7]
Compound: CaOsRu2
Source: Alexandria via LeMat-Bulk
Functional: PBE
Structure: relaxed

ΔE to the lowest computed polymorph = 0.174 eV/atom
SG = No. 123
ΔH_f (0 K) = 0.527 eV/atom

a = 4.6636 Å, b = 4.6636 Å, c = 2.9331 Å
α = 90.00°, β = 90.00°, γ = 90.00°
Fractional positions:
Ca 0.0000 0.0000 0.0000
Os 0.5000 0.5000 0.0000
Ru 0.0000 0.5000 0.5000
Ru 0.5000 0.0000 0.5000

[8]
Compound: CaOsRu4
Source: Alexandria via LeMat-Bulk
Functional: PBE
Structure: relaxed

SG = No. 216
ΔH_f (0 K) = 0.512 eV/atom

a = 5.1505 Å, b = 5.1505 Å, c = 5.1505 Å
α = 60.00°, β = 60.00°, γ = 60.00°
Fractional positions:
Ca 0.0000 0.0000 0.0000
Os 0.7500 0.7500 0.7500
Ru 0.3752 0.3752 0.3752
Ru 0.3752 0.3752 0.8743
Ru 0.3752 0.8743 0.3752
Ru 0.8743 0.3752 0.3752

| no. | VASP energy (eV/cell) |
| --- | --- |
| 1 | -20.6 |
| 2 | -52.9 |
| 3 | -60.1 |
| 4 | -30.2 |
| 5 | -30.0 |
| 6 | -116.3 |
| 7 | -29.7 |
| 8 | -47.3 |